## LiCrIn2 (PBE)

Data for a geometry-optimized LiCrIn2 structure.

Structure (POSCAR):
```
LiCrIn2
1.0
4.725 0.000 0.000
0.000 3.357 0.000
0.000 0.000 4.724
Cr In Li
1 2 1
Direct
0.500 0.625 0.875
0.500 0.125 0.375
0.000 0.125 0.875
0.000 0.625 0.375
```

* E_tot: -16.839 eV/f.u.
* space-group type: No. 123